Entry 1:
Below is a relaxed Pr8Ga2Hg crystal, with properties calculated at the GGA-PBE level.

```
Pr8Ga2Hg
1.0
-4.521 2.130 -0.566
-1.599 -4.952 -5.864
-0.486 -4.801 8.169
Pr Hg Ga
8 1 2
Cartesian
-1.893 -2.712 4.917
-5.223 -3.643 5.673
-4.714 -4.913 -3.178
-1.383 -3.982 -3.934
-1.544 -2.927 1.319
-3.511 -1.922 -1.531
-5.063 -4.697 0.421
-3.096 -5.703 3.271
-2.260 1.065 -0.283
-4.443 -2.758 2.765
-2.164 -4.866 -1.026
```

Computed properties:
Crystal system   monoclinic
Calculated formation energy   -262 meV/atom
Excess energy over the best structure of this formula in the dataset   0.0 meV/atom
Space-group type   C2/m
E_tot   -4.32 eV per atom
Theoretical density   7.14 g cm⁻³

=====

Entry 2:
Below is a relaxed Cd3Ag crystal, with properties calculated at the GGA-PBE level.

```
Cd3Ag
1.0
6.387 0.000 0.000
0.000 4.848 0.000
0.000 0.000 5.311
Cd Ag
6 2
Cartesian
3.194 0.000 3.498
4.799 0.000 0.904
4.782 2.424 4.406
1.588 0.000 0.904
1.605 2.424 4.406
0.000 2.424 1.812
3.194 2.424 1.747
0.000 0.000 3.564
```

Computed properties:
Crystal system   orthorhombic
Calculated formation energy   -37 meV/atom
Space-group type   Pmmn
E_tot   -1.44 eV per atom
Theoretical density   8.99 g cm⁻³

=====

> What is the calculated formation energy in the second record?

-37 meV/atom